*A*
Material: BeSICl2
Method: DFT, PBE-GGA
State: optimized geometry

```
BeSICl2
1.0
4.163 0.000 0.000
0.000 4.163 0.000
0.000 0.000 6.868
Be S I Cl
1 1 1 2
Direct
0.000 0.000 0.000 Be
0.000 0.000 0.500 S
0.500 0.500 0.500 I
0.000 0.500 0.000 Cl
0.500 0.000 0.000 Cl
```

Calculated values
Total magnetization ... 0.0 μB/cell
Space-group type ... P4/mmm, No. 123

*B*
Material: BeSICl2
Method: DFT, PBE-GGA
State: optimized geometry

```
BeSICl2
1.0
5.481 0.000 0.000
0.000 5.481 0.000
0.000 0.000 5.146
Be S I Cl
1 1 1 2
Direct
0.000 0.000 0.000 Be
0.500 0.500 0.000 S
0.500 0.500 0.500 I
0.000 0.500 0.500 Cl
0.500 0.000 0.500 Cl
```

Calculated values
Total magnetization ... 0.5 μB/cell
Space-group type ... P4/mmm, No. 123

Relative calculated energies, zero for the most stable structure, unit meV per atom: *A* 0; *B* 1071.